VASP calculation (GGA+U) on crystalline BaLuCo4O7 at its relaxed geometry.

Results
Spin magnetization, μB per formula unit: 0.961
SG: Pna2_1, No. 33
DFT total energy, Ry/atom: -0.4820
ρ, Mg/m³: 6.19

Structure (extended XYZ):
```
52
Lattice="10.939 0.000 0.000 0.000 6.336 0.000 0.000 0.000 10.212" Properties=species:S:1:pos:R:3 pbc="T T T"
Ba 1.704 0.042 0.000
Ba 3.765 3.210 5.106
Ba 7.174 3.125 0.000
Ba 9.234 6.293 5.106
Lu 1.850 6.330 6.443
Lu 3.620 3.163 1.338
Lu 7.319 3.173 6.443
Lu 9.089 0.005 1.338
Co 0.018 3.173 5.701
Co 0.916 1.574 3.244
Co 0.962 4.793 3.158
Co 1.895 3.200 8.288
Co 3.575 0.032 3.182
Co 4.508 1.625 8.264
Co 4.554 4.742 8.350
Co 5.451 0.006 0.595
Co 5.487 6.330 5.701
Co 6.385 1.594 3.244
Co 6.431 4.711 3.158
Co 7.364 6.304 8.288
Co 9.044 3.136 3.182
Co 9.977 1.543 8.264
Co 10.023 4.762 8.350
Co 10.921 3.162 0.595
O 0.016 3.160 7.618
O 0.063 6.315 7.696
O 0.655 1.506 5.196
O 0.952 4.691 5.139
O 1.789 2.870 0.041
O 2.674 4.955 7.936
O 2.678 4.901 2.256
O 2.792 1.733 7.361
O 2.795 1.787 2.830
O 3.681 6.038 5.147
O 4.518 1.523 0.033
O 4.815 4.673 0.090
O 5.406 3.148 2.590
O 5.453 6.328 2.512
O 5.486 0.007 7.618
O 5.532 3.188 7.696
O 6.124 1.662 5.196
O 6.421 4.813 5.139
O 7.258 0.298 0.041
O 8.143 4.548 7.936
O 8.147 4.602 2.256
O 8.261 1.434 7.361
O 8.265 1.380 2.830
O 9.150 3.466 5.147
O 9.987 1.645 0.033
O 10.284 4.830 0.090
O 10.876 0.020 2.590
O 10.922 3.175 2.512
```